# Ac2BeCoO6 | Alexandria via LeMat-Bulk | PBE+U | relaxed
# electronic total energy = -7.06 eV per atom
# volume = 686.9 Å³ per cell
# crystal system = trigonal
data_Ac2BeCoO6
_chemical_formula_sum 'Ac12 Be6 Co6 O36'
_symmetry_space_group_name_H-M 'R -3 m'
_symmetry_Int_Tables_number 166
_symmetry_space_group_name_Hall '-R 3 2"'
_cell_length_a 5.4363
_cell_length_b 5.4363
_cell_length_c 26.8403
_cell_angle_alpha 90.00
_cell_angle_beta 90.00
_cell_angle_gamma 120.00
loop_
_atom_site_label
_atom_site_type_symbol
_atom_site_fract_x
_atom_site_fract_y
_atom_site_fract_z
Ac1 Ac 0.0000 0.0000 0.1250
Ac2 Ac 0.0000 0.0000 0.2903
Be1 Be 0.0000 0.0000 0.0000
Be2 Be 0.0000 0.0000 0.5000
Co1 Co 0.0000 0.0000 0.4132
O1 O 0.0046 0.5023 0.7074
O2 O 0.0207 0.5104 0.1239

=====

# AcBeCoO4 | Alexandria via LeMat-Bulk | PBE+U | relaxed
# electronic total energy = -6.96 eV per atom
# volume = 197.9 Å³ per cell
# crystal system = tetragonal
data_AcBeCoO4
_chemical_formula_sum 'Ac2 Be2 Co2 O8'
_symmetry_space_group_name_H-M 'I -4'
_symmetry_Int_Tables_number 82
_symmetry_space_group_name_Hall 'I -4'
_cell_length_a 5.329
_cell_length_b 5.329
_cell_length_c 6.969
_cell_angle_alpha 90.00
_cell_angle_beta 90.00
_cell_angle_gamma 90.00
loop_
_atom_site_label
_atom_site_type_symbol
_atom_site_fract_x
_atom_site_fract_y
_atom_site_fract_z
Ac1 Ac 0.000 0.000 0.000
Be1 Be 0.000 0.500 0.250
Co1 Co 0.000 0.000 0.500
O1 O 0.139 0.735 0.361

=====

# AcBe2Co2O7 | Alexandria via LeMat-Bulk | PBE+U | relaxed
# electronic total energy = -6.49 eV per atom
# volume = 537.7 Å³ per cell
# crystal system = trigonal
data_AcBe2Co2O7
_chemical_formula_sum 'Ac3 Be6 Co6 O21'
_symmetry_space_group_name_H-M 'R 3 2'
_symmetry_Int_Tables_number 155
_symmetry_space_group_name_Hall 'R 3 2"'
_cell_length_a 5.2680
_cell_length_b 5.2680
_cell_length_c 22.3723
_cell_angle_alpha 90.00
_cell_angle_beta 90.00
_cell_angle_gamma 120.00
loop_
_atom_site_label
_atom_site_type_symbol
_atom_site_fract_x
_atom_site_fract_y
_atom_site_fract_z
Ac1 Ac 0.0000 0.0000 0.0000
Be1 Be 0.0000 0.0000 0.4294
Co1 Co 0.0000 0.0000 0.2479
O1 O 0.0000 0.0000 0.5000
O2 O 0.0232 0.3891 0.0707